# BaTeW2

An optimized crystal structure of BaTeW2 (PBE, Alexandria via LeMat-Bulk).

a b c (Å): 10.451 10.451 10.451
angles (deg): 17.51 17.51 17.51
Fractional coordinates of all 4 atoms:
1 W 0.016 0.016 0.016
2 W 0.484 0.484 0.484
3 Ba 0.250 0.250 0.250
4 Te 0.750 0.750 0.750

- Electronic total energy: -6.4497 eV/atom